Entry from Alexandria via LeMat-Bulk: a relaxed DyTl2TeO8 crystal (PBE).

Structure (CIF):
```
data_DyTl2TeO8
_cell_length_a 5.059
_cell_length_b 6.838
_cell_length_c 5.063
_cell_angle_alpha 90.00
_cell_angle_beta 91.17
_cell_angle_gamma 90.00
_space_group_name_H-M_alt 'P 1 2/m 1'
_space_group_IT_number 10
loop_
_space_group_symop_operation_xyz
'x,y,z'
'-x,-y,-z'
'-x,y,-z'
'x,-y,z'
loop_
_atom_site_label
_atom_site_type_symbol
_atom_site_fract_x
_atom_site_fract_y
_atom_site_fract_z
_atom_site_occupancy
Dy1 Dy 0.000 0.000 0.000 1
Tl1 Tl 0.500 0.253 0.500 1
Te1 Te 0.000 0.500 0.000 1
O1 O 0.177 0.285 0.822 1
O2 O 0.282 0.500 0.280 1
O3 O 0.308 0.000 0.307 1
```

Summary:
Uncorrected formation energy (eV per atom): -1.240